First-principles (SCAN) data for a crystal of Ti11CuP8 relaxed with PBEsol, as listed in Alexandria via LeMat-Bulk.

Results
The calculation puts the uncorrected energy at -14.935 eV per atom. The calculated density comes out at 4809 kg/m3. Its space group is No. 55. For the formation energy, the calculation gives -23.99 eV/f.u.

a b c (Å): 9.335 18.241 3.398
angles (deg): 90.00 90.00 90.00
Atoms (fractional coordinates):
Ti (0.000, 0.000, 0.000)
Ti (0.006, 0.271, 0.000)
Ti (0.098, 0.144, 0.500)
Ti (0.148, 0.587, 0.000)
Ti (0.186, 0.432, 0.000)
Ti (0.234, 0.802, 0.500)
Ti (0.266, 0.302, 0.500)
Ti (0.314, 0.932, 0.000)
Ti (0.352, 0.087, 0.000)
Ti (0.402, 0.644, 0.500)
Ti (0.494, 0.771, 0.000)
Ti (0.500, 0.500, 0.000)
Ti (0.506, 0.229, 0.000)
Ti (0.598, 0.356, 0.500)
Ti (0.648, 0.913, 0.000)
Ti (0.686, 0.068, 0.000)
Ti (0.734, 0.698, 0.500)
Ti (0.766, 0.198, 0.500)
Ti (0.814, 0.568, 0.000)
Ti (0.852, 0.413, 0.000)
Ti (0.902, 0.856, 0.500)
Ti (0.994, 0.729, 0.000)
Cu (0.000, 0.500, 0.500)
Cu (0.500, 0.000, 0.500)
P (0.035, 0.369, 0.500)
P (0.087, 0.868, 0.000)
P (0.205, 0.019, 0.500)
P (0.244, 0.207, 0.000)
P (0.256, 0.707, 0.000)
P (0.295, 0.519, 0.500)
P (0.413, 0.368, 0.000)
P (0.465, 0.869, 0.500)
P (0.535, 0.131, 0.500)
P (0.587, 0.632, 0.000)
P (0.705, 0.481, 0.500)
P (0.744, 0.293, 0.000)
P (0.756, 0.793, 0.000)
P (0.795, 0.981, 0.500)
P (0.913, 0.132, 0.000)
P (0.965, 0.631, 0.500)



First-principles (SCAN) data for a crystal of Rb2AgC2 relaxed with PBEsol, as listed in Alexandria via LeMat-Bulk.

Results
The calculation puts the uncorrected energy at -16.848 eV per atom. The calculated density comes out at 2783 kg/m3. Its space group is No. 139. For the formation energy, the calculation gives 8.81 eV/f.u.

a b c (Å): 6.557 6.557 6.557
angles (deg): 125.36 125.36 80.94
Atoms (fractional coordinates):
Rb (0.250, 0.750, 0.500)
Rb (0.750, 0.250, 0.500)
Ag (0.000, 0.000, 0.000)
C (0.187, 0.187, 0.000)
C (0.813, 0.813, 0.000)



First-principles (SCAN) data for a crystal of KTbS2 relaxed with PBEsol, as listed in Alexandria via LeMat-Bulk.

Results
The calculation puts the uncorrected energy at -20.743 eV per atom. The calculated density comes out at 4314 kg/m3. For the formation energy (no corrections), the calculation gives -2.1560 eV/atom. Its space group is No. 166.

a b c (Å): 7.616 7.616 7.616
angles (deg): 30.51 30.51 30.51
Atoms (fractional coordinates):
K (0.000, 0.000, 0.000)
Tb (0.500, 0.500, 0.500)
S (0.235, 0.235, 0.235)
S (0.765, 0.765, 0.765)



What did the first record say?
First-principles (SCAN) data for a crystal of Ti11CuP8 relaxed with PBEsol, as listed in Alexandria via LeMat-Bulk.

Results
The calculation puts the uncorrected energy at -14.935 eV per atom. The calculated density comes out at 4809 kg/m3. Its space group is No. 55. For the formation energy, the calculation gives -23.99 eV/f.u.

a b c (Å): 9.335 18.241 3.398
angles (deg): 90.00 90.00 90.00
Atoms (fractional coordinates):
Ti (0.000, 0.000, 0.000)
Ti (0.006, 0.271, 0.000)
Ti (0.098, 0.144, 0.500)
Ti (0.148, 0.587, 0.000)
Ti (0.186, 0.432, 0.000)
Ti (0.234, 0.802, 0.500)
Ti (0.266, 0.302, 0.500)
Ti (0.314, 0.932, 0.000)
Ti (0.352, 0.087, 0.000)
Ti (0.402, 0.644, 0.500)
Ti (0.494, 0.771, 0.000)
Ti (0.500, 0.500, 0.000)
Ti (0.506, 0.229, 0.000)
Ti (0.598, 0.356, 0.500)
Ti (0.648, 0.913, 0.000)
Ti (0.686, 0.068, 0.000)
Ti (0.734, 0.698, 0.500)
Ti (0.766, 0.198, 0.500)
Ti (0.814, 0.568, 0.000)
Ti (0.852, 0.413, 0.000)
Ti (0.902, 0.856, 0.500)
Ti (0.994, 0.729, 0.000)
Cu (0.000, 0.500, 0.500)
Cu (0.500, 0.000, 0.500)
P (0.035, 0.369, 0.500)
P (0.087, 0.868, 0.000)
P (0.205, 0.019, 0.500)
P (0.244, 0.207, 0.000)
P (0.256, 0.707, 0.000)
P (0.295, 0.519, 0.500)
P (0.413, 0.368, 0.000)
P (0.465, 0.869, 0.500)
P (0.535, 0.131, 0.500)
P (0.587, 0.632, 0.000)
P (0.705, 0.481, 0.500)
P (0.744, 0.293, 0.000)
P (0.756, 0.793, 0.000)
P (0.795, 0.981, 0.500)
P (0.913, 0.132, 0.000)
P (0.965, 0.631, 0.500)